Entry from Alexandria: crystalline ThPaSe4 at its relaxed geometry (PBE).

```
ThPaSe4
1.0
3.467 -3.467 0.000
3.467 3.467 0.000
-0.017 0.000 6.945
Th Pa Se
1 1 4
Direct
0.000 0.000 0.000 Th
0.500 0.500 0.500 Pa
0.000 0.500 0.254 Se
0.000 0.500 0.746 Se
0.500 0.000 0.254 Se
0.500 0.000 0.746 Se
```

Formation energy without anion corrections = -9.11 eV/f.u.
Offset from the most stable computed form = 0.000 eV per atom

---

Entry from Alexandria: crystalline La2TbCd2Ag2 at its relaxed geometry (PBE).

```
La2TbCd2Ag2
1.0
2.467 1.425 8.962
-2.467 1.425 8.962
0.000 -2.849 8.962
La Tb Cd Ag
2 1 2 2
Direct
0.124 0.124 0.124 La
0.876 0.876 0.876 La
0.000 0.000 0.000 Tb
0.270 0.270 0.270 Cd
0.730 0.730 0.730 Cd
0.391 0.391 0.391 Ag
0.609 0.609 0.609 Ag
```

ΔH_f (0 K) = -0.215 eV per atom

---

Entry from Alexandria: crystalline Ac2PaAgPd6 at its relaxed geometry (PBE).

```
Ac2PaAgPd6
1.0
0.000 5.065 5.065
5.065 0.000 5.065
5.065 5.065 0.000
Ac Pa Ag Pd
2 1 1 6
Direct
0.250 0.250 0.250 Ac
0.750 0.750 0.750 Ac
0.000 0.000 0.000 Pa
0.500 0.500 0.500 Ag
0.248 0.248 0.752 Pd
0.248 0.752 0.248 Pd
0.248 0.752 0.752 Pd
0.752 0.248 0.248 Pd
0.752 0.248 0.752 Pd
0.752 0.752 0.248 Pd
```

ΔH_f (0 K) = -0.223 eV per atom

---

Entry from Alexandria: crystalline TiBe2WN at its relaxed geometry (PBE).

```
TiBe2WN
1.0
3.729 0.000 0.000
0.000 3.729 0.000
0.000 0.000 4.092
Ti Be W N
1 2 1 1
Direct
0.000 0.000 0.000 Ti
0.000 0.500 0.500 Be
0.500 0.000 0.500 Be
0.500 0.500 0.000 W
0.500 0.500 0.500 N
```

Formation energy without anion corrections = 0.48 eV/f.u.

---

Entry from Alexandria: crystalline V2CoMoH at its relaxed geometry (PBE).

```
V2CoMoH
1.0
3.740 0.000 0.000
0.000 3.740 0.000
0.000 0.000 3.886
V Co Mo H
2 1 1 1
Direct
0.000 0.500 0.000 V
0.500 0.000 0.000 V
0.000 0.000 0.500 Co
0.500 0.500 0.500 Mo
0.500 0.500 0.000 H
```

Offset from the most stable computed form = 0.152 eV per atom

---

Entry from Alexandria: crystalline Ce6InTe5 at its relaxed geometry (PBE).

```
Ce6InTe5
1.0
3.929 -6.717 0.000
3.929 6.717 0.000
-2.550 0.000 7.322
Ce In Te
6 1 5
Direct
0.082 0.416 0.749 Ce
0.249 0.249 0.249 Ce
0.416 0.082 0.749 Ce
0.584 0.918 0.251 Ce
0.751 0.751 0.751 Ce
0.918 0.584 0.251 Ce
0.000 0.000 0.500 In
0.168 0.832 0.000 Te
0.334 0.666 0.500 Te
0.500 0.500 0.000 Te
0.666 0.334 0.500 Te
0.832 0.168 0.000 Te
```

Formation energy without anion corrections = -13.95 eV/f.u.

---

Entry from Alexandria: crystalline Sr2Sb4Pd3Rh at its relaxed geometry (PBE).

```
Sr2Sb4Pd3Rh
1.0
4.671 0.000 0.000
0.000 4.671 0.000
0.000 0.000 10.831
Sr Sb Pd Rh
2 4 3 1
Direct
0.000 0.500 0.242 Sr
0.500 0.000 0.758 Sr
0.000 0.000 0.500 Sb
0.000 0.500 0.878 Sb
0.500 0.000 0.122 Sb
0.500 0.500 0.500 Sb
0.000 0.000 0.000 Pd
0.000 0.500 0.633 Pd
0.500 0.000 0.367 Pd
0.500 0.500 0.000 Rh
```

Formation energy without anion corrections = -7.50 eV/f.u.

---

Entry from Alexandria: crystalline TcPdS2 at its relaxed geometry (PBE).

```
TcPdS2
1.0
0.000 3.056 3.056
3.056 0.000 3.056
3.056 3.056 0.000
Tc Pd S
1 1 2
Direct
0.000 0.000 0.000 Tc
0.500 0.500 0.500 Pd
0.250 0.250 0.250 S
0.750 0.750 0.750 S
```

Formation energy without anion corrections = 0.66 eV/f.u.
Offset from the most stable computed form = 0.419 eV per atom

---

Entry from Alexandria: crystalline Sr2LaMn at its relaxed geometry (PBE).

```
Sr2LaMn
1.0
-1.868 2.355 9.049
1.868 -2.355 9.049
1.868 2.355 -9.049
Sr La Mn
2 1 1
Direct
0.163 0.163 0.000 Sr
0.837 0.837 0.000 Sr
0.500 0.000 0.500 La
0.000 0.500 0.500 Mn
```

ΔH_f (0 K) = 0.355 eV per atom
Offset from the most stable computed form = 0.110 eV per atom

---

Entry from Alexandria: crystalline Cd2PAu at its relaxed geometry (PBE).

```
Cd2PAu
1.0
-2.999 2.999 6.416
2.999 -2.999 6.416
2.999 2.999 -6.416
Cd P Au
4 2 2
Direct
0.076 0.625 0.951 Cd
0.375 0.326 0.451 Cd
0.674 0.125 0.049 Cd
0.875 0.924 0.549 Cd
0.000 0.000 0.000 P
0.750 0.250 0.500 P
0.250 0.750 0.500 Au
0.500 0.500 0.000 Au
```

ΔH_f (0 K) = 0.127 eV per atom

---

Entry from Alexandria: crystalline CsK2MgTl at its relaxed geometry (PBE).

```
CsK2MgTl
1.0
7.056 0.000 0.000
0.000 7.056 0.000
0.000 0.000 5.747
Cs K Mg Tl
1 2 1 1
Direct
0.000 0.000 0.000 Cs
0.000 0.500 0.500 K
0.500 0.000 0.500 K
0.500 0.500 0.500 Mg
0.500 0.500 0.000 Tl
```

ΔH_f (0 K) = 0.113 eV per atom
Offset from the most stable computed form = 0.051 eV per atom

---

Entry from Alexandria: crystalline MnSe2Br at its relaxed geometry (PBE).

```
MnSe2Br
1.0
3.788 0.000 0.000
0.000 3.788 0.000
0.000 0.000 8.170
Mn Se Br
1 2 1
Direct
0.000 0.000 0.000 Mn
0.000 0.000 0.303 Se
0.500 0.500 0.336 Se
0.500 0.500 0.876 Br
```

Formation energy without anion corrections = -0.35 eV/f.u.
Offset from the most stable computed form = 0.274 eV per atom

---

Repeat the sixth record exactly.
Entry from Alexandria: crystalline Ce6InTe5 at its relaxed geometry (PBE).

```
Ce6InTe5
1.0
3.929 -6.717 0.000
3.929 6.717 0.000
-2.550 0.000 7.322
Ce In Te
6 1 5
Direct
0.082 0.416 0.749 Ce
0.249 0.249 0.249 Ce
0.416 0.082 0.749 Ce
0.584 0.918 0.251 Ce
0.751 0.751 0.751 Ce
0.918 0.584 0.251 Ce
0.000 0.000 0.500 In
0.168 0.832 0.000 Te
0.334 0.666 0.500 Te
0.500 0.500 0.000 Te
0.666 0.334 0.500 Te
0.832 0.168 0.000 Te
```

Formation energy without anion corrections = -13.95 eV/f.u.

---

Please write out number 4 again, unchanged.
Entry from Alexandria: crystalline TiBe2WN at its relaxed geometry (PBE).

```
TiBe2WN
1.0
3.729 0.000 0.000
0.000 3.729 0.000
0.000 0.000 4.092
Ti Be W N
1 2 1 1
Direct
0.000 0.000 0.000 Ti
0.000 0.500 0.500 Be
0.500 0.000 0.500 Be
0.500 0.500 0.000 W
0.500 0.500 0.500 N
```

Formation energy without anion corrections = 0.48 eV/f.u.